1.
Material: Ag4TeSe5
Method: DFT, PBE
State: optimized geometry

abc: 5.5814 6.9174 6.9174
angles: 80.63 66.21 66.21
Fractional positions:
Se: 0.9119 0.3912 0.7870
Ag: 0.7973 0.8091 0.5983
Ag: 0.3956 0.4017 0.8091
Se: 0.6990 0.2130 0.3912
Ag: 0.6064 0.5983 0.1909
Se: 0.5010 0.0000 0.0000
Se: 0.3031 0.7870 0.6088
Te: 0.0010 0.0000 0.0000
Se: 0.0901 0.6088 0.2130
Ag: 0.2048 0.1909 0.4017

## Properties
Energy relative to the elements, uncorrected: -36 meV per atom


2.
Material: AgTeSe2
Method: DFT, PBE
State: optimized geometry

abc: 8.4955 8.4955 8.4955
angles: 27.00 27.00 27.00
Fractional positions:
Te: 0.0000 0.0000 0.0000
Se: 0.8916 0.8916 0.8916
Se: 0.1084 0.1084 0.1084
Ag: 0.5000 0.5000 0.5000

## Properties
Energy relative to the elements, uncorrected: 114 meV per atom


3.
Material: Ag4TeSe
Method: DFT, PBE
State: optimized geometry

abc: 5.6283 5.6283 5.6283
angles: 60.00 60.00 60.00
Fractional positions:
Ag: 0.3750 0.8752 0.3750
Ag: 0.8752 0.3750 0.3750
Ag: 0.3750 0.3750 0.3750
Ag: 0.3750 0.3750 0.8752
Te: 0.0000 0.0000 0.0000
Se: 0.7500 0.7500 0.7500

## Properties
Energy above the lowest structure with this stoichiometry: 267 meV/atom
Energy relative to the elements, uncorrected: 226 meV per atom


4.
Material: Ag2TeSe4
Method: DFT, PBE
State: optimized geometry

abc: 4.0042 6.0732 14.7697
angles: 90.00 90.00 90.00
Fractional positions:
Se: 0.5000 0.8525 0.5506
Te: 0.0000 0.5000 0.5000
Te: 0.0000 0.0000 0.0000
Se: 0.0000 0.6503 0.3221
Se: 0.5000 0.3525 0.9494
Se: 0.5000 0.6475 0.0506
Se: 0.0000 0.3497 0.6779
Ag: 0.5000 0.4412 0.2252
Se: 0.0000 0.8497 0.8221
Ag: 0.5000 0.9412 0.2748
Se: 0.5000 0.1475 0.4494
Ag: 0.5000 0.0588 0.7252
Ag: 0.5000 0.5588 0.7748
Se: 0.0000 0.1503 0.1779

## Properties
Energy relative to the elements, uncorrected: 20 meV per atom


5.
Material: Ag3TeSe4
Method: DFT, PBE
State: optimized geometry

abc: 7.1364 7.4646 8.6726
angles: 90.00 90.00 90.00
Fractional positions:
Te: 0.5048 0.8290 0.5000
Se: 0.6299 0.1817 0.0000
Se: 0.1239 0.3398 0.2571
Se: 0.6239 0.6602 0.7571
Se: 0.6355 0.1612 0.5000
Se: 0.1299 0.8183 0.5000
Ag: 0.9933 0.6746 0.7552
Ag: 0.0108 0.1532 0.5000
Ag: 0.4933 0.3254 0.7448
Se: 0.6239 0.6602 0.2429
Se: 0.1355 0.8388 0.0000
Ag: 0.4933 0.3254 0.2552
Ag: 0.5108 0.8468 0.0000
Se: 0.1239 0.3398 0.7429
Te: 0.0048 0.1710 0.0000
Ag: 0.9933 0.6746 0.2448

## Properties
Energy above the lowest structure with this stoichiometry: 42 meV/atom
Energy relative to the elements, uncorrected: 22 meV per atom


6.
Material: AgTeSe2
Method: DFT, PBE
State: optimized geometry

abc: 6.4587 6.4587 3.9648
angles: 107.84 107.84 38.85
Fractional positions:
Ag: 0.2475 0.2475 0.2469
Se: 0.7426 0.7426 0.7425
Se: 0.0008 0.0008 0.0012
Te: 0.5091 0.5091 0.5095

## Properties
Energy relative to the elements, uncorrected: 13 meV per atom


7.
Material: AgTe2Se
Method: DFT, PBE
State: optimized geometry

abc: 7.1490 7.1490 7.1490
angles: 34.63 34.63 34.63
Fractional positions:
Te: 0.2441 0.2441 0.2441
Ag: 0.4937 0.4937 0.4937
Te: 0.0042 0.0042 0.0042
Se: 0.7580 0.7580 0.7580

## Properties
Energy relative to the elements, uncorrected: 36 meV per atom


8.
Material: AgTe2Se
Method: DFT, PBE
State: optimized geometry

abc: 3.0346 3.0346 12.6397
angles: 90.00 90.00 90.00
Fractional positions:
Te: 0.5000 0.5000 0.3150
Se: 0.5000 0.5000 0.6736
Te: 0.0000 0.0000 0.9963
Ag: 0.0000 0.0000 0.5151

## Properties
Energy relative to the elements, uncorrected: 193 meV per atom


9.
Material: AgTe2Se
Method: DFT, PBE
State: optimized geometry

abc: 5.1741 5.1741 5.1809
angles: 67.92 67.92 104.41
Fractional positions:
Ag: 0.5000 0.0000 0.5000
Te: 0.5000 0.5000 0.0000
Te: 0.0000 0.0000 0.0000
Se: 0.0000 0.5000 0.5000

## Properties
Energy relative to the elements, uncorrected: -11 meV per atom


10.
Material: AgTe2Se
Method: DFT, PBE
State: optimized geometry

abc: 3.0306 3.0306 11.6658
angles: 90.00 90.00 100.64
Fractional positions:
Ag: 0.5000 0.5000 0.2500
Te: 0.0000 0.0000 0.0398
Te: 0.0000 0.0000 0.4602
Se: 0.5000 0.5000 0.7500

## Properties
Energy relative to the elements, uncorrected: 285 meV per atom


11.
Material: AgTeSe3
Method: DFT, PBE
State: optimized geometry

abc: 4.0482 10.9404 10.0102
angles: 129.26 66.44 124.00
Fractional positions:
Ag: 0.6458 0.2838 0.2828
Se: 0.4729 0.3118 0.9935
Te: 0.2182 0.3308 0.7744
Se: 0.9706 0.3768 0.5879
Se: 0.5271 0.6882 0.0065
Se: 0.9228 0.0487 0.1503
Te: 0.7818 0.6692 0.2256
Ag: 0.3542 0.7162 0.7172
Se: 0.0294 0.6232 0.4121
Se: 0.0772 0.9513 0.8497

## Properties
Energy above the lowest structure with this stoichiometry: 0 meV/atom
Energy relative to the elements, uncorrected: 9 meV per atom


12.
Material: AgTeSe2
Method: DFT, PBE
State: optimized geometry

abc: 6.9483 6.9483 6.9483
angles: 34.42 34.42 34.42
Fractional positions:
Te: 0.4986 0.4986 0.4986
Ag: 0.7436 0.7436 0.7436
Se: 0.2526 0.2526 0.2526
Se: 0.0052 0.0052 0.0052

## Properties
Energy relative to the elements, uncorrected: 91 meV per atom